The following is a GGA+U calculation of V2CrFeF after structural relaxation, from Alexandria via LeMat-Bulk.

Unit cell a=4.802 b=5.133 c=4.802 alpha=90.00 beta=90.00 gamma=90.00
Sites, in units of the cell vectors:
V  0.000  0.000  0.500
V  0.500  0.000  0.000
Cr  0.000  0.000  0.000
F  0.500  0.500  0.500
Fe  0.000  0.500  0.000

total magnetic moment: 0.24 μB per atom
DOS at the Fermi energy: 2.75 states/eV per cell
E: -4.6174 eV/atom
crystal system: tetragonal
symmetry: P4/mmm (123)